A relaxed LaUBi2 crystal. Source: the Alexandria database, functional GGA-PBE.

calculated formation energy: -0.3081 eV per atom
space-group type: P4/mmm, No. 123
DFT total energy: -6.3024 eV per atom

Cell: 3.4191 5.9571 5.9571 Å, 90.00 90.00 90.00°
With the nearest neighbours (Å) after each atom.
Positions (direct):
U: 0.5000 0.0000 0.0000  2 U 3.42, 8 Bi 3.43
Bi: 0.0000 0.0000 0.5000  2 Bi 3.42, 4 La 3.43, 4 U 3.43
Bi: 0.0000 0.5000 0.0000  2 Bi 3.42, 4 La 3.43, 4 U 3.43
La: 0.5000 0.5000 0.5000  2 La 3.42, 8 Bi 3.43